Computed, not measured: a geometry-optimized HgIrAu2 structure at the GGA-PBE level of DFT.

Structure (extended XYZ):
```
4
Lattice="2.9709 0.0000 0.0000 0.0000 3.9898 0.0000 -0.0517 0.0000 6.0128" Properties=species:S:1:pos:R:3 pbc="T T T"
Hg 0.0000 0.0000 0.0000
Ir 1.4443 1.9949 4.5610
Au 1.4696 1.9949 1.6201
Au 2.9420 0.0000 3.1209
```

The calculation puts the final energy at -14.34 eV per cell. The calculation puts the volume at 17.82 Å³ per atom. The space-group type is Pm, No. 6. For the spin magnetization, the calculation gives 0.0 Bohr magnetons per cell. The calculation puts the energy relative to the elements at 345 meV/atom.